DFT (PBE-GGA) results for a relaxed DyScTlPt crystal.

abc: 7.0964 7.0964 7.0964
angles: 90.00 90.00 90.00
Space group F-43m (No. 216)
Unique sites:
Dy  0.0000  0.0000  0.0000 (multiplicity 4)
Sc  0.0000  0.0000  0.5000 (multiplicity 4)
Tl  0.2500  0.2500  0.2500 (multiplicity 4)
Pt  0.2500  0.2500  0.7500 (multiplicity 4)

Properties
Spin magnetization in μB per formula unit: 0.000
Density in g cm⁻³: 11.280
Total energy in eV per cell: -88.0
Formation energy in eV/f.u.: -2.66